A plane-wave DFT calculation with GGA-PBE was carried out for an optimized crystal structure of Tl3Te2Se.

## Properties
electronic total energy	-35.96	eV per cell
symmetry	No. 72
total magnetization	0.000	μB/atom
formation energy without anion corrections	-185	meV/atom

a = 8.2474 Å, b = 8.7206 Å, c = 8.7207 Å
α = 58.99°, β = 61.78°, γ = 61.78°
Closest atoms and distances in Å follow each position.
Positions (direct):
Tl 0.5000 0.2500 0.7500  4 Te 3.17
Tl 0.5000 0.7500 0.2500  4 Te 3.17
Tl 0.1849 0.0651 0.5651  2 Se 3.19, 2 Te 3.32
Tl 0.8151 0.4349 0.9349  2 Se 3.19, 2 Te 3.32
Tl 0.8151 0.9349 0.4349  2 Se 3.19, 2 Te 3.32
Tl 0.1849 0.5651 0.0651  2 Se 3.19, 2 Te 3.32
Te 0.8321 0.3747 0.3747  1 Se 2.90, 2 Tl 3.17
Te 0.5816 0.1253 0.1253  1 Se 2.90, 2 Tl 3.17
Te 0.4184 0.8747 0.8747  1 Se 2.90, 2 Tl 3.17
Te 0.1679 0.6253 0.6253  1 Se 2.90, 2 Tl 3.17
Se 0.0000 0.5000 0.5000  2 Te 2.90, 4 Tl 3.19
Se 0.0000 0.0000 0.0000  2 Te 2.90, 4 Tl 3.19